1.
Density functional theory data (PBE-GGA) for a geometry-optimized KSr2Hg6 structure.

Calculated values
Space-group type: P6/mmm (191)
Crystal system: hexagonal
Energy relative to the elements (meV per atom): -394

Lattice parameters (Å, degrees): 3.893 9.003 9.003 120.00 90.00 90.00
Element x y z (fractional)
Sr 0.000 0.333 0.667
Sr 0.000 0.667 0.333
Hg 0.500 0.666 0.666
Hg 0.500 0.666 0.000
Hg 0.500 0.334 0.000
Hg 0.500 0.334 0.334
Hg 0.500 0.000 0.334
Hg 0.500 0.000 0.666
K 0.000 0.000 0.000

2.
Density functional theory data (PBE-GGA) for a geometry-optimized K2Sr2Hg15 structure.

Calculated values
Space-group type: R-3m (166)
Crystal system: trigonal
Energy relative to the elements (meV per atom): -206

Lattice parameters (Å, degrees): 8.580 8.580 8.580 74.94 74.94 74.94
Element x y z (fractional)
Hg 0.000 0.000 0.500
Hg 0.853 0.380 0.380
Hg 0.703 0.000 0.297
Hg 0.000 0.703 0.297
Hg 0.000 0.500 0.000
Hg 0.500 0.000 0.000
Hg 0.297 0.703 0.000
Hg 0.380 0.853 0.380
Hg 0.703 0.297 0.000
Hg 0.147 0.620 0.620
Hg 0.380 0.380 0.853
Hg 0.297 0.000 0.703
Hg 0.620 0.620 0.147
Hg 0.620 0.147 0.620
Hg 0.000 0.297 0.703
Sr 0.101 0.101 0.101
Sr 0.899 0.899 0.899
K 0.661 0.661 0.661
K 0.339 0.339 0.339

- energy relative to the elements of number 1 (KSr2Hg6)?
  -394 meV per atom